# 1
# DyLu2Au | Alexandria | PBE | optimized geometry
# crystal system = tetragonal
# calculated total energy = -18.590 eV per cell
# density of states at the Fermi level = 5.32 states/eV per cell
# calculated density = 11.06 g/cm³
# space-group type = P4/mmm
data_DyLu2Au
_chemical_formula_sum 'Dy1 Lu2 Au1'
_symmetry_space_group_name_H-M 'P 1'
_symmetry_Int_Tables_number 1
_cell_length_a 3.514
_cell_length_b 3.514
_cell_length_c 8.621
_cell_angle_alpha 90.00
_cell_angle_beta 90.00
_cell_angle_gamma 90.00
loop_
_symmetry_equiv_pos_as_xyz
'x,y,z'
loop_
_atom_site_label
_atom_site_type_symbol
_atom_site_fract_x
_atom_site_fract_y
_atom_site_fract_z
Dy1 Dy 0.000 0.000 0.000
Lu1 Lu 0.500 0.500 0.296
Lu2 Lu 0.500 0.500 0.704
Au1 Au 0.000 0.000 0.500

***

# 2
# PmYTm2 | Alexandria | PBE | optimized geometry
# crystal system = trigonal
# calculated total energy = -20.070 eV per cell
# density of states at the Fermi level = 5.76 states/eV per cell
# calculated density = 7.48 g/cm³
# space-group type = R3m
data_PmYTm2
_chemical_formula_sum 'Pm1 Y1 Tm2'
_symmetry_space_group_name_H-M 'P 1'
_symmetry_Int_Tables_number 1
_cell_length_a 11.651
_cell_length_b 11.651
_cell_length_c 11.651
_cell_angle_alpha 17.65
_cell_angle_beta 17.65
_cell_angle_gamma 17.65
loop_
_symmetry_equiv_pos_as_xyz
'x,y,z'
loop_
_atom_site_label
_atom_site_type_symbol
_atom_site_fract_x
_atom_site_fract_y
_atom_site_fract_z
Pm1 Pm 0.000 0.000 0.000
Y1 Y 0.834 0.834 0.834
Tm1 Tm 0.250 0.250 0.250
Tm2 Tm 0.418 0.418 0.418

***

# 3
# CeCuNiPb | Alexandria | PBE | optimized geometry
# crystal system = cubic
# calculated total energy = -20.349 eV per cell
# density of states at the Fermi level = 3.19 states/eV per cell
# calculated density = 10.14 g/cm³
# space-group type = F-43m
data_CeCuNiPb
_chemical_formula_sum 'Ce1 Cu1 Ni1 Pb1'
_symmetry_space_group_name_H-M 'P 1'
_symmetry_Int_Tables_number 1
_cell_length_a 4.773
_cell_length_b 4.773
_cell_length_c 4.773
_cell_angle_alpha 60.00
_cell_angle_beta 60.00
_cell_angle_gamma 60.00
loop_
_symmetry_equiv_pos_as_xyz
'x,y,z'
loop_
_atom_site_label
_atom_site_type_symbol
_atom_site_fract_x
_atom_site_fract_y
_atom_site_fract_z
Ce1 Ce 0.000 0.000 0.000
Cu1 Cu 0.750 0.750 0.750
Ni1 Ni 0.250 0.250 0.250
Pb1 Pb 0.500 0.500 0.500

***

# 4
# HfN | Alexandria | PBE | optimized geometry
# crystal system = tetragonal
# density of states at the Fermi level = 2.15 states/eV per cell
# formation energy without anion corrections = -2.608 eV/f.u.
# calculated density = 10.86 g/cm³
# space-group type = P4_2/mnm
data_HfN
_chemical_formula_sum 'Hf4 N4'
_symmetry_space_group_name_H-M 'P 1'
_symmetry_Int_Tables_number 1
_cell_length_a 5.552
_cell_length_b 5.552
_cell_length_c 3.820
_cell_angle_alpha 90.00
_cell_angle_beta 90.00
_cell_angle_gamma 90.00
loop_
_symmetry_equiv_pos_as_xyz
'x,y,z'
loop_
_atom_site_label
_atom_site_type_symbol
_atom_site_fract_x
_atom_site_fract_y
_atom_site_fract_z
Hf1 Hf 0.200 0.200 0.000
Hf2 Hf 0.300 0.700 0.500
Hf3 Hf 0.700 0.300 0.500
Hf4 Hf 0.800 0.800 0.000
N1 N 0.185 0.815 0.000
N2 N 0.315 0.315 0.500
N3 N 0.685 0.685 0.500
N4 N 0.815 0.185 0.000

***

# 5
# Cu2Pd4Pt5 | Alexandria | PBE | optimized geometry
# crystal system = monoclinic
# calculated total energy = -60.006 eV per cell
# density of states at the Fermi level = 17.55 states/eV per cell
# calculated density = 15.40 g/cm³
# space-group type = C2/m
data_Cu2Pd4Pt5
_chemical_formula_sum 'Cu2 Pd4 Pt5'
_symmetry_space_group_name_H-M 'P 1'
_symmetry_Int_Tables_number 1
_cell_length_a 7.333
_cell_length_b 7.333
_cell_length_c 6.185
_cell_angle_alpha 104.89
_cell_angle_beta 104.89
_cell_angle_gamma 30.93
loop_
_symmetry_equiv_pos_as_xyz
'x,y,z'
loop_
_atom_site_label
_atom_site_type_symbol
_atom_site_fract_x
_atom_site_fract_y
_atom_site_fract_z
Cu1 Cu 0.089 0.089 0.453
Cu2 Cu 0.911 0.911 0.547
Pd1 Pd 0.182 0.182 0.901
Pd2 Pd 0.455 0.455 0.280
Pd3 Pd 0.545 0.545 0.720
Pd4 Pd 0.818 0.818 0.099
Pt1 Pt 0.000 0.000 0.000
Pt2 Pt 0.273 0.273 0.369
Pt3 Pt 0.367 0.367 0.816
Pt4 Pt 0.633 0.633 0.184
Pt5 Pt 0.727 0.727 0.631

***

# 6
# LiPm2Bi2 | Alexandria | PBE | optimized geometry
# crystal system = orthorhombic
# calculated total energy = -45.693 eV per cell
# density of states at the Fermi level = 5.15 states/eV per cell
# calculated density = 8.10 g/cm³
# space-group type = Ibam
data_LiPm2Bi2
_chemical_formula_sum 'Li2 Pm4 Bi4'
_symmetry_space_group_name_H-M 'P 1'
_symmetry_Int_Tables_number 1
_cell_length_a 8.222
_cell_length_b 8.222
_cell_length_c 8.222
_cell_angle_alpha 132.63
_cell_angle_beta 68.84
_cell_angle_gamma 133.13
loop_
_symmetry_equiv_pos_as_xyz
'x,y,z'
loop_
_atom_site_label
_atom_site_type_symbol
_atom_site_fract_x
_atom_site_fract_y
_atom_site_fract_z
Li1 Li 0.250 0.250 0.000
Li2 Li 0.750 0.750 0.000
Pm1 Pm 0.146 0.725 0.871
Pm2 Pm 0.354 0.225 0.579
Pm3 Pm 0.646 0.775 0.421
Pm4 Pm 0.854 0.275 0.129
Bi1 Bi 0.116 0.243 0.359
Bi2 Bi 0.384 0.743 0.126
Bi3 Bi 0.616 0.257 0.874
Bi4 Bi 0.884 0.757 0.641

***

# 7
# Rb2IrPb | Alexandria | PBE | optimized geometry
# crystal system = tetragonal
# calculated total energy = -26.006 eV per cell
# density of states at the Fermi level = 5.39 states/eV per cell
# calculated density = 4.59 g/cm³
# space-group type = I-42d
data_Rb2IrPb
_chemical_formula_sum 'Rb4 Ir2 Pb2'
_symmetry_space_group_name_H-M 'P 1'
_symmetry_Int_Tables_number 1
_cell_length_a 9.291
_cell_length_b 9.291
_cell_length_c 9.291
_cell_angle_alpha 94.46
_cell_angle_beta 94.46
_cell_angle_gamma 147.63
loop_
_symmetry_equiv_pos_as_xyz
'x,y,z'
loop_
_atom_site_label
_atom_site_type_symbol
_atom_site_fract_x
_atom_site_fract_y
_atom_site_fract_z
Rb1 Rb 0.375 0.198 0.323
Rb2 Rb 0.802 0.125 0.177
Rb3 Rb 0.875 0.052 0.677
Rb4 Rb 0.948 0.625 0.823
Ir1 Ir 0.000 0.000 0.000
Ir2 Ir 0.750 0.250 0.500
Pb1 Pb 0.250 0.750 0.500
Pb2 Pb 0.500 0.500 0.000

***

# 8
# Ba2Si3BiAu12 | Alexandria | PBE | optimized geometry
# crystal system = trigonal
# density of states at the Fermi level = 6.90 states/eV per cell
# formation energy without anion corrections = -1.378 eV/f.u.
# calculated density = 10.26 g/cm³
# space-group type = R-3m
data_Ba2Si3BiAu12
_chemical_formula_sum 'Ba2 Si3 Bi1 Au12'
_symmetry_space_group_name_H-M 'P 1'
_symmetry_Int_Tables_number 1
_cell_length_a 8.683
_cell_length_b 8.683
_cell_length_c 8.683
_cell_angle_alpha 61.09
_cell_angle_beta 61.09
_cell_angle_gamma 61.09
loop_
_symmetry_equiv_pos_as_xyz
'x,y,z'
loop_
_atom_site_label
_atom_site_type_symbol
_atom_site_fract_x
_atom_site_fract_y
_atom_site_fract_z
Ba1 Ba 0.107 0.107 0.107
Ba2 Ba 0.893 0.893 0.893
Si1 Si 0.000 0.500 0.500
Si2 Si 0.500 0.000 0.500
Si3 Si 0.500 0.500 0.000
Bi1 Bi 0.500 0.500 0.500
Au1 Au 0.104 0.623 0.623
Au2 Au 0.173 0.173 0.622
Au3 Au 0.173 0.622 0.173
Au4 Au 0.377 0.377 0.896
Au5 Au 0.377 0.896 0.377
Au6 Au 0.378 0.827 0.827
Au7 Au 0.622 0.173 0.173
Au8 Au 0.623 0.104 0.623
Au9 Au 0.623 0.623 0.104
Au10 Au 0.827 0.378 0.827
Au11 Au 0.827 0.827 0.378
Au12 Au 0.896 0.377 0.377

***

# 9
# CaReP2O | Alexandria | PBE | optimized geometry
# crystal system = tetragonal
# density of states at the Fermi level = 2.55 states/eV per cell
# formation energy without anion corrections = -3.183 eV/f.u.
# calculated density = 5.68 g/cm³
# space-group type = P4/mmm
data_CaReP2O
_chemical_formula_sum 'Ca1 Re1 P2 O1'
_symmetry_space_group_name_H-M 'P 1'
_symmetry_Int_Tables_number 1
_cell_length_a 4.835
_cell_length_b 4.835
_cell_length_c 3.805
_cell_angle_alpha 90.00
_cell_angle_beta 90.00
_cell_angle_gamma 90.00
loop_
_symmetry_equiv_pos_as_xyz
'x,y,z'
loop_
_atom_site_label
_atom_site_type_symbol
_atom_site_fract_x
_atom_site_fract_y
_atom_site_fract_z
Ca1 Ca 0.000 0.000 0.000
Re1 Re 0.500 0.500 0.500
P1 P 0.000 0.500 0.500
P2 P 0.500 0.000 0.500
O1 O 0.500 0.500 0.000

***

# 10
# Na2YRuO6 | Alexandria | PBE | optimized geometry
# crystal system = monoclinic
# density of states at the Fermi level = 8.45 states/eV per cell
# formation energy without anion corrections = -16.921 eV/f.u.
# calculated density = 4.25 g/cm³
# space-group type = P2_1/c
data_Na2YRuO6
_chemical_formula_sum 'Na4 Y2 Ru2 O12'
_symmetry_space_group_name_H-M 'P 1'
_symmetry_Int_Tables_number 1
_cell_length_a 5.622
_cell_length_b 5.743
_cell_length_c 9.777
_cell_angle_alpha 90.00
_cell_angle_beta 124.66
_cell_angle_gamma 90.00
loop_
_symmetry_equiv_pos_as_xyz
'x,y,z'
loop_
_atom_site_label
_atom_site_type_symbol
_atom_site_fract_x
_atom_site_fract_y
_atom_site_fract_z
Na1 Na 0.241 0.040 0.250
Na2 Na 0.241 0.460 0.750
Na3 Na 0.759 0.540 0.250
Na4 Na 0.759 0.960 0.750
Y1 Y 0.500 0.000 0.000
Y2 Y 0.500 0.500 0.500
Ru1 Ru 0.000 0.000 0.500
Ru2 Ru 0.000 0.500 0.000
O1 O 0.130 0.226 0.951
O2 O 0.130 0.274 0.451
O3 O 0.231 0.684 0.957
O4 O 0.231 0.816 0.457
O5 O 0.316 0.026 0.728
O6 O 0.316 0.474 0.228
O7 O 0.684 0.526 0.772
O8 O 0.684 0.974 0.272
O9 O 0.769 0.184 0.543
O10 O 0.769 0.316 0.043
O11 O 0.870 0.726 0.549
O12 O 0.870 0.774 0.049

***

# 11
# TcOs2 | Alexandria | PBE | optimized geometry
# crystal system = tetragonal
# calculated total energy = -130.443 eV per cell
# density of states at the Fermi level = 13.08 states/eV per cell
# calculated density = 18.37 g/cm³
# space-group type = I4_1/amd
data_TcOs2
_chemical_formula_sum 'Tc4 Os8'
_symmetry_space_group_name_H-M 'P 1'
_symmetry_Int_Tables_number 1
_cell_length_a 11.938
_cell_length_b 11.938
_cell_length_c 11.938
_cell_angle_alpha 161.40
_cell_angle_beta 161.40
_cell_angle_gamma 26.42
loop_
_symmetry_equiv_pos_as_xyz
'x,y,z'
loop_
_atom_site_label
_atom_site_type_symbol
_atom_site_fract_x
_atom_site_fract_y
_atom_site_fract_z
Tc1 Tc 0.292 0.542 0.750
Tc2 Tc 0.458 0.708 0.750
Tc3 Tc 0.542 0.292 0.250
Tc4 Tc 0.708 0.458 0.250
Os1 Os 0.042 0.792 0.250
Os2 Os 0.125 0.375 0.750
Os3 Os 0.208 0.958 0.250
Os4 Os 0.375 0.125 0.250
Os5 Os 0.625 0.875 0.750
Os6 Os 0.792 0.042 0.750
Os7 Os 0.875 0.625 0.250
Os8 Os 0.958 0.208 0.750

***

# 12
# BeCo2Os | Alexandria | PBE | optimized geometry
# crystal system = tetragonal
# calculated total energy = -29.167 eV per cell
# density of states at the Fermi level = 4.17 states/eV per cell
# calculated density = 12.15 g/cm³
# space-group type = P4mm
data_BeCo2Os
_chemical_formula_sum 'Be1 Co2 Os1'
_symmetry_space_group_name_H-M 'P 1'
_symmetry_Int_Tables_number 1
_cell_length_a 2.699
_cell_length_b 2.699
_cell_length_c 5.950
_cell_angle_alpha 90.00
_cell_angle_beta 90.00
_cell_angle_gamma 90.00
loop_
_symmetry_equiv_pos_as_xyz
'x,y,z'
loop_
_atom_site_label
_atom_site_type_symbol
_atom_site_fract_x
_atom_site_fract_y
_atom_site_fract_z
Be1 Be 0.000 0.000 0.000
Co1 Co 0.000 0.000 0.461
Co2 Co 0.500 0.500 0.201
Os1 Os 0.500 0.500 0.746